TmPu2CrN4 | PBE | relaxed

Results
formation energy from raw total energies	-1.056	eV per atom
SG	Cmcm, No. 63
magnetization	0.903	μB per atom

Lattice parameters (Å, degrees): 3.280 5.905 11.480 90.00 90.00 106.13
Positions (direct):
N  0.546  0.092  0.250
N  0.729  0.457  0.630
N  0.271  0.543  0.370
N  0.454  0.908  0.750
N  0.000  0.000  0.500
N  0.729  0.457  0.870
N  0.271  0.543  0.130
N  0.000  0.000  0.000
Pu  0.633  0.266  0.050
Pu  0.367  0.734  0.550
Pu  0.367  0.734  0.950
Pu  0.633  0.266  0.450
Cr  0.150  0.300  0.250
Cr  0.850  0.700  0.750
Tm  0.886  0.772  0.250
Tm  0.114  0.228  0.750